[1]
{"formula": "Th2CuPb", "functional": "GGA-PBE", "state": "relaxed", "total_magnetization_mub_per_fu": 0.00, "e_tot_ev_per_cell": -23.27, "sg": "P4/mmm", "e_form_kcal_per_mol_atoms": -3.59, "crystal_system": "tetragonal", "lattice_angstrom": [[3.439, 0.000, 0.000], [0.000, 3.439, 0.000], [0.000, 0.000, 8.921]], "species": ["Pb", "Cu", "Th", "Th"], "frac_coords": [[0.500, 0.500, 0.500], [0.500, 0.500, 0.000], [0.000, 0.000, 0.785], [0.000, 0.000, 0.215]]}

=====

[2]
{"formula": "Ac4PmTe5", "functional": "GGA-PBE", "state": "relaxed", "total_magnetization_mub_per_fu": 0.00, "raw_formation_energy_ev_per_atom": -1.46, "e_tot_ev_per_cell": -51.54, "sg": "I4", "relative_energy_mev_per_atom": 7, "crystal_system": "tetragonal", "lattice_angstrom": [[5.978, 0.000, 2.883], [2.989, 7.392, 1.442], [-0.222, 0.000, 8.100]], "species": ["Ac", "Ac", "Ac", "Ac", "Pm", "Te", "Te", "Te", "Te", "Te"], "frac_coords": [[0.406, 0.399, 0.791], [0.804, 0.791, 0.601], [0.197, 0.209, 0.399], [0.596, 0.601, 0.209], [0.002, 0.000, 0.000], [0.900, 0.389, 0.812], [0.290, 0.812, 0.611], [0.712, 0.188, 0.389], [0.101, 0.611, 0.188], [0.502, 0.000, 0.000]]}

=====

[3]
{"formula": "Nd5ZnAu2", "functional": "GGA-PBE", "state": "relaxed", "total_magnetization_mub_per_fu": 0.00, "e_tot_ev_per_cell": -67.84, "sg": "Cmcm", "e_form_kcal_per_mol_atoms": -6.49, "crystal_system": "orthorhombic", "lattice_angstrom": [[5.395, 0.000, 0.000], [-2.698, 5.396, 0.000], [0.000, 0.000, 16.437]], "species": ["Nd", "Nd", "Nd", "Nd", "Nd", "Nd", "Nd", "Nd", "Nd", "Nd", "Zn", "Zn", "Au", "Au", "Au", "Au"], "frac_coords": [[0.947, 0.895, 0.892], [0.947, 0.895, 0.608], [0.356, 0.713, 0.447], [0.356, 0.713, 0.053], [0.601, 0.202, 0.250], [0.399, 0.798, 0.750], [0.644, 0.287, 0.553], [0.644, 0.287, 0.947], [0.053, 0.105, 0.108], [0.053, 0.105, 0.392], [0.727, 0.455, 0.750], [0.273, 0.545, 0.250], [0.765, 0.530, 0.392], [0.765, 0.530, 0.108], [0.235, 0.470, 0.608], [0.235, 0.470, 0.892]]}

=====

[4]
{"formula": "Pa2TlS6", "functional": "GGA-PBE", "state": "relaxed", "total_magnetization_mub_per_fu": 0.00, "raw_formation_energy_ev_per_atom": -1.13, "e_tot_ev_per_cell": -56.29, "sg": "C2/m", "relative_energy_mev_per_atom": 95, "crystal_system": "monoclinic", "lattice_angstrom": [[-2.071, 0.814, 4.713], [1.701, -5.295, 4.545], [6.377, 2.819, 5.197]], "species": ["Pa", "Pa", "Tl", "S", "S", "S", "S", "S", "S"], "frac_coords": [[0.175, 0.748, 0.902], [0.825, 0.252, 0.098], [0.000, 0.500, 0.500], [0.708, 0.657, 0.927], [0.292, 0.343, 0.073], [0.980, 0.850, 0.190], [0.351, 0.680, 0.617], [0.020, 0.150, 0.810], [0.649, 0.320, 0.383]]}

=====

[5]
{"formula": "YTm2CdN", "functional": "GGA-PBE", "state": "relaxed", "total_magnetization_mub_per_fu": 0.00, "raw_formation_energy_ev_per_atom": -0.88, "e_tot_ev_per_cell": -29.05, "sg": "P4/mmm", "crystal_system": "tetragonal", "lattice_angstrom": [[4.842, 0.000, 0.000], [0.000, 4.745, 0.000], [0.000, 0.000, 4.745]], "species": ["Y", "Tm", "Tm", "Cd", "N"], "frac_coords": [[0.500, 0.000, 0.000], [0.000, 0.000, 0.500], [0.000, 0.500, 0.000], [0.500, 0.500, 0.500], [0.000, 0.000, 0.000]]}

=====

[6]
{"formula": "La2HfC", "functional": "GGA-PBE", "state": "relaxed", "total_magnetization_mub_per_fu": 0.00, "e_tot_ev_per_cell": -56.92, "sg": "I-42d", "e_form_kcal_per_mol_atoms": 3.31, "crystal_system": "tetragonal", "lattice_angstrom": [[9.842, 0.000, 0.000], [0.000, 9.842, 0.000], [4.921, 4.921, 2.213]], "species": ["C", "C", "Hf", "Hf", "La", "La", "La", "La"], "frac_coords": [[0.500, 0.500, 0.000], [0.250, 0.750, 0.500], [0.000, 0.000, 0.000], [0.750, 0.250, 0.500], [0.475, 0.125, 0.250], [0.275, 0.625, 0.250], [0.375, 0.525, 0.750], [0.875, 0.725, 0.750]]}

=====

Copy entry 4 word for word.
{"formula": "Pa2TlS6", "functional": "GGA-PBE", "state": "relaxed", "total_magnetization_mub_per_fu": 0.00, "raw_formation_energy_ev_per_atom": -1.13, "e_tot_ev_per_cell": -56.29, "sg": "C2/m", "relative_energy_mev_per_atom": 95, "crystal_system": "monoclinic", "lattice_angstrom": [[-2.071, 0.814, 4.713], [1.701, -5.295, 4.545], [6.377, 2.819, 5.197]], "species": ["Pa", "Pa", "Tl", "S", "S", "S", "S", "S", "S"], "frac_coords": [[0.175, 0.748, 0.902], [0.825, 0.252, 0.098], [0.000, 0.500, 0.500], [0.708, 0.657, 0.927], [0.292, 0.343, 0.073], [0.980, 0.850, 0.190], [0.351, 0.680, 0.617], [0.020, 0.150, 0.810], [0.649, 0.320, 0.383]]}